No. 1
{
  "formula": "K2Cr3F10",
  "functional": "PBE with a Hubbard U",
  "state": "optimized geometry",
  "magnetic_moment_mub_per_atom": 0.667,
  "energy_ev_per_atom": -5.648,
  "density_kg_m3": 3238,
  "sg": "C2/m, No. 12",
  "cell": [[-1.7587, -5.8938, 0.6996], [7.5402, -2.2409, 0.0761], [-2.6623, 5.0530, 8.4899]],
  "species": ["K", "K", "K", "K", "F", "F", "F", "F", "F", "F", "F", "F", "F", "F", "F", "F", "F", "F", "F", "F", "F", "F", "F", "F", "Cr", "Cr", "Cr", "Cr", "Cr", "Cr"],
  "fractional_positions": [[0.6144, 0.7167, 0.2288], [0.7150, 0.3420, 0.4299], [0.2850, 0.6580, 0.5701], [0.3856, 0.2833, 0.7712], [0.6547, 0.9677, 0.7617], [0.5000, 0.0000, 0.5000], [0.9139, 0.4615, 0.2760], [0.8689, 0.2562, 0.7379], [0.4880, 0.8220, 0.9761], [0.7577, 0.7211, 0.5153], [0.2423, 0.2789, 0.4847], [0.0197, 0.1931, 0.0395], [0.7944, 0.5000, 0.0000], [0.3621, 0.4615, 0.2760], [0.1070, 0.9677, 0.7617], [0.2056, 0.5000, 0.0000], [0.1311, 0.7438, 0.2621], [0.5120, 0.1780, 0.0239], [0.8930, 0.0323, 0.2383], [0.9803, 0.8069, 0.9605], [0.6379, 0.5385, 0.7240], [0.3453, 0.0323, 0.2383], [0.0861, 0.5385, 0.7240], [0.0000, 0.0000, 0.5000], [0.9247, 0.5282, 0.8493], [0.2553, 0.0000, 0.0000], [0.1853, 0.0218, 0.3706], [0.0753, 0.4718, 0.1507], [0.8147, 0.9782, 0.6294], [0.7447, 0.0000, 0.0000]]
}

No. 2
{
  "formula": "KCrF2",
  "functional": "PBE with a Hubbard U",
  "state": "optimized geometry",
  "magnetic_moment_mub_per_atom": 1.250,
  "energy_ev_per_atom": -4.850,
  "density_kg_m3": 3509,
  "sg": "Fm-3m, No. 225",
  "cell": [[0.0000, 3.1260, 3.1260], [3.1260, 0.0000, 3.1260], [3.1260, 3.1260, 0.0000]],
  "species": ["F", "F", "K", "Cr"],
  "fractional_positions": [[0.7500, 0.7500, 0.7500], [0.2500, 0.2500, 0.2500], [0.0000, 0.0000, 0.0000], [0.5000, 0.5000, 0.5000]]
}

No. 3
{
  "formula": "KCrF",
  "functional": "PBE with a Hubbard U",
  "state": "optimized geometry",
  "magnetic_moment_mub_per_atom": 1.715,
  "energy_ev_per_atom": -4.603,
  "density_kg_m3": 2439,
  "sg": "Pm, No. 6",
  "cell": [[3.4296, 0.0000, 0.0144], [0.0000, 3.4305, 0.0000], [-0.0424, 0.0000, 6.3700]],
  "species": ["F", "Cr", "K"],
  "fractional_positions": [[0.8057, 0.0000, 0.8797], [0.8019, 0.0000, 0.5375], [0.3064, 0.5000, 0.0251]]
}

No. 4
{
  "formula": "KCrF",
  "functional": "PBE with a Hubbard U",
  "state": "optimized geometry",
  "magnetic_moment_mub_per_atom": 0.013,
  "energy_ev_per_atom": -4.736,
  "density_kg_m3": 2489,
  "sg": "Cm, No. 8",
  "cell": [[3.4541, 0.0002, 0.2187], [0.0293, 6.2619, -0.4440], [1.3098, 2.6146, 6.6888]],
  "species": ["F", "F", "Cr", "Cr", "K", "K"],
  "fractional_positions": [[0.3544, 0.6585, 0.2378], [0.4332, 0.2092, 0.0804], [0.2207, 0.3888, 0.5052], [0.5780, 0.1654, 0.7913], [0.8133, 0.9429, 0.3202], [0.9725, 0.5479, 0.0015]]
}

No. 5
{
  "formula": "K3CrF5",
  "functional": "PBE with a Hubbard U",
  "state": "optimized geometry",
  "magnetic_moment_mub_per_atom": 0.444,
  "energy_ev_per_atom": -4.756,
  "density_kg_m3": 2630,
  "sg": "I4/mcm, No. 140",
  "cell": [[7.2028, 0.0000, 0.0000], [0.0000, 7.2028, 0.0000], [-3.6014, -3.6014, 6.4338]],
  "species": ["K", "K", "K", "K", "K", "K", "F", "F", "F", "F", "F", "F", "F", "F", "F", "F", "Cr", "Cr"],
  "fractional_positions": [[0.3242, 0.8242, 0.0000], [0.6758, 0.1758, 0.0000], [0.1758, 0.3242, 0.0000], [0.2500, 0.2500, 0.5000], [0.7500, 0.7500, 0.5000], [0.8242, 0.6758, 0.0000], [0.5000, 0.5000, 0.0000], [0.7080, 0.2080, 0.7074], [0.9994, 0.4994, 0.7074], [0.0000, 0.0000, 0.0000], [0.2920, 0.7920, 0.2926], [0.7920, 0.0006, 0.2926], [0.5006, 0.2920, 0.2926], [0.0006, 0.5006, 0.2926], [0.4994, 0.7080, 0.7074], [0.2080, 0.9994, 0.7074], [0.2500, 0.7500, 0.5000], [0.7500, 0.2500, 0.5000]]
}

No. 6
{
  "formula": "KCrF2",
  "functional": "PBE with a Hubbard U",
  "state": "optimized geometry",
  "magnetic_moment_mub_per_atom": 1.112,
  "energy_ev_per_atom": -5.185,
  "density_kg_m3": 2588,
  "sg": "R-3m, No. 166",
  "cell": [[1.1355, 6.5971, 2.8249], [0.4493, 4.4185, 5.7503], [3.8384, 4.4825, 4.2386]],
  "species": ["F", "F", "K", "Cr"],
  "fractional_positions": [[0.0941, 0.0941, 0.0941], [0.9059, 0.9059, 0.9059], [0.5000, 0.5000, 0.5000], [0.0000, 0.0000, 0.0000]]
}